## Pm2Si2W2C (GGA-PBE)

Data for a relaxed structure of Pm2Si2W2C.

Geometry as CIF:
```
data_Pm2Si2W2C
_symmetry_space_group_name_H-M 'C 1 2/m 1'
_symmetry_Int_Tables_number 12
_symmetry_space_group_name_Hall '-C 2y'
_cell_length_a 11.1756
_cell_length_b 3.9280
_cell_length_c 7.2735
_cell_angle_alpha 90.00
_cell_angle_beta 125.48
_cell_angle_gamma 90.00
loop_
_atom_site_label
_atom_site_fract_x
_atom_site_fract_y
_atom_site_fract_z
Pm1 0.0758 0.0000 0.3000
Si1 0.1340 0.5000 0.6696
W1 0.2069 0.5000 0.0806
C1 0.0000 0.5000 0.0000
```

- Formation energy from raw total energies: -0.506 eV per atom
- Calculated volume: 260.0 Å³ per cell
- Uncorrected energy: -8.431 eV per atom

=====

## PmSm2C (GGA-PBE)

Data for a relaxed structure of PmSm2C.

Geometry as CIF:
```
data_PmSm2C
_symmetry_space_group_name_H-M 'R -3 m'
_symmetry_Int_Tables_number 166
_symmetry_space_group_name_Hall '-R 3 2"'
_cell_length_a 3.6039
_cell_length_b 3.6039
_cell_length_c 30.0262
_cell_angle_alpha 90.00
_cell_angle_beta 90.00
_cell_angle_gamma 120.00
loop_
_atom_site_label
_atom_site_fract_x
_atom_site_fract_y
_atom_site_fract_z
Pm1 0.0000 0.0000 0.0000
Sm1 0.0000 0.0000 0.1203
C1 0.0000 0.0000 0.5000
```

- Calculated volume: 337.7 Å³ per cell
- Uncorrected energy: -5.861 eV per atom
- DFT formation energy: -0.77 kJ/mol of atoms

=====

## PmSmC4 (GGA-PBE)

Data for a relaxed structure of PmSmC4.

Geometry as CIF:
```
data_PmSmC4
_symmetry_space_group_name_H-M 'C 1 2/m 1'
_symmetry_Int_Tables_number 12
_symmetry_space_group_name_Hall '-C 2y'
_cell_length_a 7.4535
_cell_length_b 3.7955
_cell_length_c 7.4072
_cell_angle_alpha 90.00
_cell_angle_beta 118.59
_cell_angle_gamma 90.00
loop_
_atom_site_label
_atom_site_fract_x
_atom_site_fract_y
_atom_site_fract_z
Pm1 0.0000 0.0000 0.0000
Sm1 0.0000 0.5000 0.5000
C1 0.1983 0.0000 0.7987
C2 0.1993 0.5000 0.3024
```

- Calculated volume: 184.0 Å³ per cell
- Uncorrected energy: -7.872 eV per atom
- DFT formation energy: -13.91 kJ/mol of atoms

=====

## PmSm3C (GGA-PBE)

Data for a relaxed structure of PmSm3C.

Geometry as CIF:
```
data_PmSm3C
_symmetry_space_group_name_H-M 'P m -3 m'
_symmetry_Int_Tables_number 221
_symmetry_space_group_name_Hall '-P 4 2 3'
_cell_length_a 5.1841
_cell_length_b 5.1841
_cell_length_c 5.1841
_cell_angle_alpha 90.00
_cell_angle_beta 90.00
_cell_angle_gamma 90.00
loop_
_atom_site_label
_atom_site_fract_x
_atom_site_fract_y
_atom_site_fract_z
Pm1 0.0000 0.0000 0.0000
Sm1 0.0000 0.5000 0.5000
C1 0.5000 0.5000 0.5000
```

- Calculated volume: 139.3 Å³ per cell
- Uncorrected energy: -5.562 eV per atom
- DFT formation energy: 6.23 kJ/mol of atoms

=====

## PmSm2C (GGA-PBE)

Data for a relaxed structure of PmSm2C.

Geometry as CIF:
```
data_PmSm2C
_symmetry_space_group_name_H-M 'P -3 m 1'
_symmetry_Int_Tables_number 164
_symmetry_space_group_name_Hall '-P 3 2"'
_cell_length_a 3.6576
_cell_length_b 3.6576
_cell_length_c 9.4958
_cell_angle_alpha 90.00
_cell_angle_beta 90.00
_cell_angle_gamma 120.00
loop_
_atom_site_label
_atom_site_fract_x
_atom_site_fract_y
_atom_site_fract_z
Pm1 0.0000 0.0000 0.0000
Sm1 0.3333 0.6667 0.6479
C1 0.0000 0.0000 0.5000
```

- Calculated volume: 110.0 Å³ per cell
- Uncorrected energy: -5.930 eV per atom
- DFT formation energy: -7.39 kJ/mol of atoms

=====

## PmSm3C8 (GGA-PBE)

Data for a relaxed structure of PmSm3C8.

Geometry as CIF:
```
data_PmSm3C8
_symmetry_space_group_name_H-M 'I -4 2 m'
_symmetry_Int_Tables_number 121
_symmetry_space_group_name_Hall 'I -4 2'
_cell_length_a 7.1360
_cell_length_b 7.1360
_cell_length_c 7.8126
_cell_angle_alpha 90.00
_cell_angle_beta 90.00
_cell_angle_gamma 90.00
loop_
_atom_site_label
_atom_site_fract_x
_atom_site_fract_y
_atom_site_fract_z
Pm1 0.0000 0.0000 0.0000
Sm1 0.0000 0.0000 0.5000
Sm2 0.0000 0.5000 0.2500
C1 0.1652 0.1652 0.7629
C2 0.2329 0.2329 0.3633
```

- Calculated volume: 397.8 Å³ per cell
- Uncorrected energy: -7.574 eV per atom
- DFT formation energy: 14.56 kJ/mol of atoms

=====

## Pm4Sm2C (GGA-PBE)

Data for a relaxed structure of Pm4Sm2C.

Geometry as CIF:
```
data_Pm4Sm2C
_symmetry_space_group_name_H-M 'I 4/m m m'
_symmetry_Int_Tables_number 139
_symmetry_space_group_name_Hall '-I 4 2'
_cell_length_a 5.0234
_cell_length_b 5.0234
_cell_length_c 17.8087
_cell_angle_alpha 90.00
_cell_angle_beta 90.00
_cell_angle_gamma 90.00
loop_
_atom_site_label
_atom_site_fract_x
_atom_site_fract_y
_atom_site_fract_z
Pm1 0.0000 0.0000 0.1371
Pm2 0.0000 0.5000 0.0000
Sm1 0.0000 0.0000 0.3264
C1 0.0000 0.0000 0.0000
```

- Calculated volume: 449.4 Å³ per cell
- Uncorrected energy: -5.206 eV per atom
- DFT formation energy: 16.85 kJ/mol of atoms

=====

## Pm3SmC8 (GGA-PBE)

Data for a relaxed structure of Pm3SmC8.

Geometry as CIF:
```
data_Pm3SmC8
_symmetry_space_group_name_H-M 'I -4 2 m'
_symmetry_Int_Tables_number 121
_symmetry_space_group_name_Hall 'I -4 2'
_cell_length_a 7.1933
_cell_length_b 7.1933
_cell_length_c 7.7829
_cell_angle_alpha 90.00
_cell_angle_beta 90.00
_cell_angle_gamma 90.00
loop_
_atom_site_label
_atom_site_fract_x
_atom_site_fract_y
_atom_site_fract_z
Pm1 0.0000 0.0000 0.0000
Pm2 0.0000 0.5000 0.2500
Sm1 0.0000 0.0000 0.5000
C1 0.1639 0.1639 0.7320
C2 0.2331 0.2331 0.1348
```

- Calculated volume: 402.7 Å³ per cell
- Uncorrected energy: -7.578 eV per atom
- DFT formation energy: 14.67 kJ/mol of atoms